1.
Entry from the Alexandria database: a relaxed ErSnTeO6 crystal (PBE).

Cell lengths 5.5076, 5.5076, 9.0792 Å; angles 90.00, 90.00, 120.00 degrees
Last column: nearest neighbours and their distance in Å.
Positions (direct):
O 0.9730 0.3175 0.1266  1 Te 2.06, 1 Sn 2.16, 1 Er 2.25
O 0.3175 0.9730 0.6266  1 Te 2.06, 1 Sn 2.16, 1 Er 2.25
O 0.6554 0.6825 0.6266  1 Te 2.06, 1 Sn 2.16, 1 Er 2.25
O 0.6554 0.9730 0.8734  1 Te 2.06, 1 Sn 2.16, 1 Er 2.25
O 0.6825 0.6554 0.1266  1 Te 2.06, 1 Sn 2.16, 1 Er 2.25
O 0.9730 0.6554 0.3734  1 Te 2.06, 1 Sn 2.16, 1 Er 2.25
O 0.0270 0.3446 0.6266  1 Te 2.06, 1 Sn 2.16, 1 Er 2.25
O 0.0270 0.6825 0.8734  1 Te 2.06, 1 Sn 2.16, 1 Er 2.25
O 0.6825 0.0270 0.3734  1 Te 2.06, 1 Sn 2.16, 1 Er 2.25
O 0.3446 0.0270 0.1266  1 Te 2.06, 1 Sn 2.16, 1 Er 2.25
O 0.3175 0.3446 0.8734  1 Te 2.06, 1 Sn 2.16, 1 Er 2.25
O 0.3446 0.3175 0.3734  1 Te 2.06, 1 Sn 2.16, 1 Er 2.25
Te 0.6667 0.3333 0.2500  6 O 2.06
Te 0.3333 0.6667 0.7500  6 O 2.06
Er 0.3333 0.6667 0.2500  6 O 2.25
Er 0.6667 0.3333 0.7500  6 O 2.25
Sn 0.0000 0.0000 0.0000  6 O 2.16
Sn 0.0000 0.0000 0.5000  6 O 2.16

The density of states at the Fermi level is 0.3039 states/eV/atom. For the uncorrected formation energy, the calculation gives -1755.4 meV/atom. Its symmetry is P-31c (163). For the total magnetization, the calculation gives 0.000 μB/atom.

=====

2.
Entry from the Alexandria database: a relaxed LiAcPa2O8 crystal (PBE).

Cell lengths 5.6525, 5.6525, 6.0468 Å; angles 90.00, 90.00, 120.00 degrees
Last column: nearest neighbours and their distance in Å.
Positions (direct):
O 0.3333 0.6667 0.5739  1 Pa 2.00
O 0.6667 0.3333 0.4261  1 Pa 2.00
O 0.7184 0.0616 0.8354  1 Li 2.05, 1 Pa 2.24
O 0.9384 0.6568 0.8354  1 Li 2.05, 1 Pa 2.24
O 0.0616 0.3432 0.1646  1 Li 2.05, 1 Pa 2.24
O 0.2816 0.9384 0.1646  1 Li 2.05, 1 Pa 2.24
O 0.3432 0.2816 0.8354  1 Li 2.05, 1 Pa 2.24
O 0.6568 0.7184 0.1646  1 Li 2.05, 1 Pa 2.24
Ac 0.0000 0.0000 0.5000  6 O 2.71, 2 Li 3.02
Li 0.0000 0.0000 0.0000  6 O 2.05
Pa 0.3333 0.6667 0.9047  1 O 2.00
Pa 0.6667 0.3333 0.0953  1 O 2.00

The density of states at the Fermi level is 0.5015 states/eV/atom. For the uncorrected formation energy, the calculation gives -2719.6 meV/atom. Its symmetry is P-3 (147). For the total magnetization, the calculation gives 0.175 μB/atom.

=====

3.
Entry from the Alexandria database: a relaxed K2BeP crystal (PBE).

Cell lengths 3.8152, 3.8152, 9.4676 Å; angles 79.70, 79.70, 60.00 degrees
Last column: nearest neighbours and their distance in Å.
Positions (direct):
Be 0.2082 0.2082 0.3751  3 P 2.20
P 0.5416 0.5416 0.3750  3 Be 2.20
K 0.9576 0.9576 0.0970  3 Be 3.39, 3 P 3.39
K 0.7927 0.7927 0.6528  3 Be 3.39, 3 P 3.39

The density of states at the Fermi level is 0.2757 states/eV/atom. Its symmetry is Cm (8). For the total magnetization, the calculation gives 0.000 μB/atom. As for the energy above the most stable polymorph in this dataset: 0.000 eV per atom.